A plane-wave DFT calculation with PBE-GGA was carried out for an optimized crystal structure of ZnRu2W.

a = 2.8968 Å, b = 4.5334 Å, c = 9.0498 Å
α = 90.00°, β = 90.00°, γ = 90.00°
Closest atoms and distances in Å follow each position.
Space group Cmm2 (No. 35)
One atom of each set of equivalent atoms:
Zn (0.0000, 0.0000, 0.0000) (multiplicity 2)  2 Ru 2.62, 6 Zn 2.69-2.90, 2 W 2.77
Ru (0.0000, 0.0000, 0.5077) (multiplicity 2)  2 W 2.66, 8 Ru 2.69-2.90
Ru (0.0000, 0.5000, 0.7585) (multiplicity 2)  2 Zn 2.62, 8 Ru 2.69-2.90
W (0.0000, 0.5000, 0.2606) (multiplicity 2)  2 Ru 2.66, 6 W 2.69-2.90, 2 Zn 2.77

Values from the calculation:
- V (A^3/atom) = 14.9

A plane-wave DFT calculation with PBE-GGA was carried out for an optimized crystal structure of ZrRuW2.

a = 2.9236 Å, b = 2.9236 Å, c = 8.0476 Å
α = 90.00°, β = 90.00°, γ = 90.00°
Closest atoms and distances in Å follow each position.
Space group P4mm (No. 99)
One atom of each set of equivalent atoms:
Zr (0.0000, 0.0000, 0.0000) (multiplicity 1)  4 Zr 2.92, 4 Ru 2.95, 4 W 3.09
Ru (0.5000, 0.5000, 0.2608) (multiplicity 1)  4 W 2.62, 4 Ru 2.92
W (0.0000, 0.0000, 0.4603) (multiplicity 1)  4 Ru 2.62, 8 W 2.91-2.92
W (0.5000, 0.5000, 0.7149) (multiplicity 1)  8 W 2.91-2.92, 4 Zr 3.09

Values from the calculation:
- distance to the lowest polymorph of the same formula (eV/atom) = 0.217
- V (A^3/atom) = 17.2

A plane-wave DFT calculation with PBE-GGA was carried out for an optimized crystal structure of Zr2RuW.

a = 3.3056 Å, b = 4.8843 Å, c = 8.9862 Å
α = 90.00°, β = 90.00°, γ = 90.00°
Closest atoms and distances in Å follow each position.
Space group Immm (No. 71)
One atom of each set of equivalent atoms:
Zr (0.0000, 0.0000, 0.2417) (multiplicity 4)  2 Ru 2.73, 2 W 2.85, 4 Zr 2.95
Ru (0.0000, 0.5000, 0.5000) (multiplicity 2)  4 Zr 2.73, 4 W 2.95
W (0.0000, 0.5000, 0.0000) (multiplicity 2)  4 Zr 2.85, 4 Ru 2.95

Values from the calculation:
- V (A^3/atom) = 18.1

A plane-wave DFT calculation with PBE-GGA was carried out for an optimized crystal structure of ZrRuW2.

a = 3.2017 Å, b = 4.4674 Å, c = 4.6967 Å
α = 90.00°, β = 90.00°, γ = 90.00°
Closest atoms and distances in Å follow each position.
Space group Pmmm (No. 47)
One atom of each set of equivalent atoms:
Zr (0.0000, 0.0000, 0.0000) (multiplicity 1)  4 Ru 2.75, 4 W 2.84
Ru (0.5000, 0.5000, 0.0000) (multiplicity 1)  4 Zr 2.75, 4 W 2.84
W (0.0000, 0.5000, 0.5000) (multiplicity 1)  4 W 2.75, 4 Ru 2.84
W (0.5000, 0.0000, 0.5000) (multiplicity 1)  4 W 2.75, 4 Zr 2.84

Values from the calculation:
- distance to the lowest polymorph of the same formula (eV/atom) = 0.024
- V (A^3/atom) = 16.8

A plane-wave DFT calculation with PBE-GGA was carried out for an optimized crystal structure of Zr2RuW.

a = 6.5831 Å, b = 6.5831 Å, c = 6.5831 Å
α = 90.00°, β = 90.00°, γ = 90.00°
Closest atoms and distances in Å follow each position.
Space group F-43m (No. 216)
One atom of each set of equivalent atoms:
Zr (0.0000, 0.0000, 0.0000) (multiplicity 4)  4 Zr 2.85, 4 W 2.85
Zr (0.2500, 0.2500, 0.2500) (multiplicity 4)  4 Zr 2.85, 4 Ru 2.85
Ru (0.0000, 0.0000, 0.5000) (multiplicity 4)  4 W 2.85, 4 Zr 2.85
W (0.2500, 0.2500, 0.7500) (multiplicity 4)  4 Zr 2.85, 4 Ru 2.85

Values from the calculation:
- V (A^3/atom) = 17.8

A plane-wave DFT calculation with PBE-GGA was carried out for an optimized crystal structure of Zr4RuW.

a = 7.8476 Å, b = 7.8476 Å, c = 7.8476 Å
α = 90.00°, β = 90.00°, γ = 90.00°
Closest atoms and distances in Å follow each position.
Space group F-43m (No. 216)
One atom of each set of equivalent atoms:
Zr (0.1250, 0.1250, 0.1250) (multiplicity 16)  6 Zr 2.77
Ru (0.2500, 0.2500, 0.7500) (multiplicity 4)  12 Zr 3.25, 4 W 3.40
W (0.0000, 0.0000, 0.5000) (multiplicity 4)  12 Zr 3.25, 4 Ru 3.40

Values from the calculation:
- V (A^3/atom) = 20.1

no.,calculated formation energy (eV/f.u.)
1,1.29
2,0.53
3,-0.02
4,-0.24
5,-0.03
6,4.31